Rb2Tc2As | GGA-PBE | optimized geometry

a = 10.3609 Å, b = 10.3609 Å, c = 2.8601 Å
α = 90.00°, β = 90.00°, γ = 90.00°
Space group P4/mbm (No. 127)
One atom of each set of equivalent atoms:
Rb 0.2116 0.2884 0.0000 x4
Tc 0.0718 0.5718 0.5000 x4
As 0.0000 0.0000 0.5000 x2

Results
**ΔH_f (0 K)**: 6.144 eV/f.u.
**Distance to the lowest polymorph of the same formula**: 0.183 eV/atom